Entry 1:
DFT (GGA-PBE) results for a relaxed Mn2PWBr crystal.

Cell and atoms, written as POSCAR:
```
Mn2PWBr
1.0
-1.524 -2.649 3.350
2.437 -3.524 -1.678
3.532 1.219 2.571
Br P W Mn
1 1 1 2
Cartesian
2.222 -2.477 2.121 Br
0.000 0.000 0.000 P
1.219 -1.762 -0.839 W
-0.762 -1.325 1.675 Mn
1.766 0.609 1.285 Mn
```

Summary:
Energy relative to the elements, uncorrected in eV/atom: 0.7568
SG: No. 123
Magnetic moment in μB/atom: 1.20
D(E_F) in states/eV/cell: 3.8

=====

Entry 2:
DFT (GGA-PBE) results for a relaxed ZrMnP2Br crystal.

Cell and atoms, written as POSCAR:
```
ZrMnP2Br
1.0
-2.445 4.213 -0.655
-3.715 -1.974 1.174
0.837 1.214 4.689
P Mn Br Zr
2 1 1 1
Cartesian
0.418 0.607 2.344 P
-1.223 2.106 -0.327 P
-1.857 -0.987 0.587 Mn
0.000 0.000 0.000 Br
-2.662 1.727 2.604 Zr
```

Summary:
Energy relative to the elements, uncorrected in eV/atom: 1.0185
SG: No. 123
Magnetic moment in μB/atom: 0.61
D(E_F) in states/eV/cell: 3.7

=====

Entry 3:
DFT (GGA-PBE) results for a relaxed ZrMnPBr2 crystal.

Cell and atoms, written as POSCAR:
```
ZrMnPBr2
1.0
-3.443 -2.157 -1.888
3.388 -3.920 -1.699
-0.685 -2.246 3.815
P Mn Br Zr
1 1 2 1
Cartesian
-0.370 -4.162 0.114 P
0.000 0.000 0.000 Mn
-1.721 -1.079 -0.944 Br
-0.343 -1.123 1.908 Br
1.694 -1.960 -0.849 Zr
```

Summary:
Energy relative to the elements, uncorrected in eV/atom: 0.5230
SG: No. 123
Magnetic moment in μB/atom: 0.00
D(E_F) in states/eV/cell: 7.1

=====

Entry 4:
DFT (GGA-PBE) results for a relaxed PaMnBr crystal.

Cell and atoms, written as POSCAR:
```
PaMnBr
1.0
-1.898 -1.046 3.268
-0.997 -2.073 -3.175
9.857 -6.248 -0.058
Mn Pa Br
2 2 2
Cartesian
3.063 -5.759 -0.374 Mn
3.899 -3.607 0.409 Mn
1.217 -3.980 1.818 Pa
5.745 -5.386 -1.784 Pa
0.067 -2.987 -0.674 Br
6.895 -6.380 0.709 Br
```

Summary:
Energy relative to the elements, uncorrected in eV/atom: -0.6884
SG: No. 12
Magnetic moment in μB/atom: 0.00
D(E_F) in states/eV/cell: 3.9

=====

Entry 5:
DFT (GGA-PBE) results for a relaxed MnPb2Br8 crystal.

Cell and atoms, written as POSCAR:
```
MnPb2Br8
1.0
1.759 -3.026 -5.769
-4.614 -5.568 1.514
-6.531 5.180 -0.763
Br Pb Mn
8 2 1
Cartesian
-6.921 2.944 -1.673 Br
-3.348 -4.839 -0.448 Br
-3.221 -2.602 -3.564 Br
-2.465 -6.358 -3.345 Br
-7.305 -4.249 -3.946 Br
-6.038 1.424 -4.570 Br
-6.165 -0.813 -1.454 Br
-2.082 0.834 -1.072 Br
-5.711 -1.844 -4.721 Pb
-3.675 -1.570 -0.297 Pb
0.000 0.000 0.000 Mn
```

Summary:
Energy relative to the elements, uncorrected in eV/atom: -0.6935
SG: No. 12
Magnetic moment in μB/atom: 0.27

=====

Entry 6:
DFT (GGA-PBE) results for a relaxed Mn2PbBr crystal.

Cell and atoms, written as POSCAR:
```
Mn2PbBr
1.0
-1.640 2.503 -1.649
-3.499 -2.036 0.391
-1.180 3.165 5.980
Br Mn Pb
1 2 1
Cartesian
-4.330 2.099 3.953 Br
-3.146 -0.123 2.944 Mn
-2.693 -1.349 0.632 Mn
-1.990 1.534 0.768 Pb
```

Summary:
Energy relative to the elements, uncorrected in eV/atom: 0.2540
SG: No. 47
Magnetic moment in μB/atom: 1.93
D(E_F) in states/eV/cell: 3.0
Excess energy over the best structure of this formula in the dataset in eV/atom: 0.097